Entry 1:
A plane-wave DFT calculation with GGA-PBE was carried out for CaPm2Si2 after structural relaxation.

Cell: 7.6648 7.6648 4.3549 Å, 90.00 90.00 90.00°
Space group P4/mbm (No. 127)
Unique sites:
Ca 0.0000 0.0000 0.0000 (multiplicity 2)
Pm 0.1781 0.3219 0.5000 (multiplicity 4)
Si 0.1117 0.6117 0.0000 (multiplicity 4)

The calculated volume comes out at 128 Å³/f.u. As for the energy above the most stable polymorph in this dataset: 0.0000 eV/atom. The total magnetization comes out at 0.00 μB/atom. For the density of states at the Fermi level, the calculation gives 5.32 states/eV/cell.



Entry 2:
A plane-wave DFT calculation with GGA-PBE was carried out for Ca3Pm4Si4 after structural relaxation.

Cell: 4.8323 7.6863 16.6000 Å, 90.00 90.00 90.00°
Space group Immm (No. 71)
Unique sites:
Ca 0.0000 0.0000 0.0000 (multiplicity 2)
Ca 0.0000 0.5000 0.0977 (multiplicity 4)
Pm 0.0000 0.2783 0.3297 (multiplicity 8)
Si 0.0000 0.0000 0.1933 (multiplicity 4)
Si 0.0000 0.1692 0.5000 (multiplicity 4)

The calculated volume comes out at 308 Å³/f.u. The total magnetization comes out at 0.00 μB/atom. For the density of states at the Fermi level, the calculation gives 13.69 states/eV/cell. For the total energy, the calculation gives -0.1696 hartree per atom.



Entry 3:
A plane-wave DFT calculation with GGA-PBE was carried out for Ca2PmSi2 after structural relaxation.

Cell: 12.3902 4.7607 10.6495 Å, 90.00 122.32 90.00°
Space group C2/m (No. 12)
Unique sites:
Ca 0.0226 0.0000 0.1827 (multiplicity 4)
Ca 0.1961 0.0000 0.5910 (multiplicity 4)
Pm 0.2008 0.5000 0.8409 (multiplicity 4)
Si 0.0534 0.5000 0.4307 (multiplicity 4)
Si 0.1243 0.5000 0.0671 (multiplicity 4)

The calculated volume comes out at 133 Å³/f.u. The total magnetization comes out at 0.00 μB/atom. For the density of states at the Fermi level, the calculation gives 8.65 states/eV/cell. For the total energy, the calculation gives -0.1594 hartree per atom.



Entry 4:
A plane-wave DFT calculation with GGA-PBE was carried out for CaPmSiSn after structural relaxation.

Cell: 7.4827 7.4827 7.4827 Å, 90.00 90.00 90.00°
Space group F-43m (No. 216)
Unique sites:
Ca 0.0000 0.0000 0.0000 (multiplicity 4)
Pm 0.0000 0.0000 0.5000 (multiplicity 4)
Si 0.2500 0.2500 0.2500 (multiplicity 4)
Sn 0.2500 0.2500 0.7500 (multiplicity 4)

The calculated volume comes out at 105 Å³/f.u. The total magnetization comes out at 0.00 μB/atom. For the density of states at the Fermi level, the calculation gives 14.50 states/eV/cell. For the total energy, the calculation gives -0.1631 hartree per atom.



Entry 5:
A plane-wave DFT calculation with GGA-PBE was carried out for CaPmTlSi after structural relaxation.

Cell: 7.4912 7.4912 7.4912 Å, 90.00 90.00 90.00°
Space group F-43m (No. 216)
Unique sites:
Ca 0.0000 0.0000 0.0000 (multiplicity 4)
Pm 0.0000 0.0000 0.5000 (multiplicity 4)
Tl 0.2500 0.2500 0.2500 (multiplicity 4)
Si 0.2500 0.2500 0.7500 (multiplicity 4)

The calculated volume comes out at 105 Å³/f.u. The total magnetization comes out at 0.00 μB/atom. For the density of states at the Fermi level, the calculation gives 8.30 states/eV/cell. For the total energy, the calculation gives -0.1452 hartree per atom.



Entry 6:
A plane-wave DFT calculation with GGA-PBE was carried out for CaPm3Sm3 after structural relaxation.

Cell: 8.7973 8.7973 22.8368 Å, 90.00 90.00 120.00°
Space group R-3 (No. 148, hexagonal axes)
Unique sites:
Ca 0.0000 0.0000 0.1546 (multiplicity 6)
Pm 0.0555 0.4491 0.3777 (multiplicity 18)
Sm 0.0056 0.2320 0.5593 (multiplicity 18)

The calculated volume comes out at 255 Å³/f.u. As for the calculated formation energy: 220 meV per atom. The total magnetization comes out at 0.00 μB/atom. For the density of states at the Fermi level, the calculation gives 67.12 states/eV/cell.



Entry 7:
A plane-wave DFT calculation with GGA-PBE was carried out for CaPmSm2 after structural relaxation.

Cell: 3.6814 3.6814 10.5112 Å, 90.00 90.00 90.00°
Space group P4/mmm (No. 123)
Unique sites:
Ca 0.0000 0.0000 0.0000 (multiplicity 1)
Pm 0.0000 0.0000 0.5000 (multiplicity 1)
Sm 0.5000 0.5000 0.2655 (multiplicity 2)

The calculated volume comes out at 142 Å³/f.u. As for the energy above the most stable polymorph in this dataset: 0.0075 eV/atom. As for the calculated formation energy: 53 meV per atom. The total magnetization comes out at 0.00 μB/atom. For the density of states at the Fermi level, the calculation gives 5.81 states/eV/cell.



Entry 8:
A plane-wave DFT calculation with GGA-PBE was carried out for CaPmSm after structural relaxation.

Cell: 3.6915 3.6915 9.2056 Å, 90.00 90.00 120.00°
Space group P3m1 (No. 156)
Unique sites:
Ca 0.0000 0.0000 0.0000 (multiplicity 1)
Pm 0.6667 0.3333 0.3470 (multiplicity 1)
Sm 0.3333 0.6667 0.6546 (multiplicity 1)

The calculated volume comes out at 109 Å³/f.u. As for the energy above the most stable polymorph in this dataset: 0.0091 eV/atom. As for the calculated formation energy: 44 meV per atom. The total magnetization comes out at 0.00 μB/atom. For the density of states at the Fermi level, the calculation gives 3.85 states/eV/cell.



calculated volume of number 3 (Ca2PmSi2)?
133 Å³/f.u.



What is the formula in the first record?
CaPm2Si2



Among the records above, which one has the highest calculated volume?
Ca3Pm4Si4